Here is a relaxed structure of MnBi2F from the Alexandria database. Energies are from PBE with a Hubbard U.

Structure (CIF):
```
data_MnBi2F
_chemical_formula_sum 'Mn4 Bi8 F4'
_cell_length_a 4.486
_cell_length_b 4.486
_cell_length_c 20.598
_cell_angle_alpha 90.00
_cell_angle_beta 90.00
_cell_angle_gamma 90.00
_symmetry_space_group_name_H-M 'I -4 2 d'
_symmetry_Int_Tables_number 122
_symmetry_space_group_name_Hall 'I -4 2bw'
loop_
_atom_site_label
_atom_site_type_symbol
_atom_site_fract_x
_atom_site_fract_y
_atom_site_fract_z
Mn1 Mn 0.000 0.000 0.000
Bi1 Bi 0.241 0.250 0.125
F1 F 0.000 0.000 0.500
```

Properties
energy above the most stable polymorph in this dataset	108.5	meV/atom
density of states at the Fermi level	6.53	states/eV per cell